Entry from Alexandria via LeMat-Bulk: an optimized crystal structure of CeGdTmSn (PBE).

a b c (Å): 7.596 7.596 7.596
angles (deg): 90.00 90.00 90.00
Space group F-43m (No. 216)
One atom of each set of equivalent atoms:
Ce  0.000  0.000  0.000 x4
Gd  0.250  0.250  0.750 x4
Tm  0.250  0.250  0.250 x4
Sn  0.000  0.000  0.500 x4

For the total energy, the calculation gives -7.31 eV/atom. As for the total magnetization: 2.26 μB per atom.

***

Entry from Alexandria via LeMat-Bulk: an optimized crystal structure of TlAg2Hg (PBE).

a b c (Å): 11.056 3.134 5.402
angles (deg): 90.00 108.00 90.00
Space group Cm (No. 8)
One atom of each set of equivalent atoms:
Tl  0.000  0.000  0.000 x2
Ag  0.039  0.500  0.513 x2
Ag  0.244  0.000  0.846 x2
Hg  0.291  0.500  0.372 x2

For the total energy, the calculation gives -1.98 eV/atom. As for the total magnetization: 0.00 μB per atom.

***

Entry from Alexandria via LeMat-Bulk: an optimized crystal structure of Nd3Y8Ho4 (PBE).

a b c (Å): 13.489 12.845 6.769
angles (deg): 90.00 120.04 90.00
Space group C2/m (No. 12)
One atom of each set of equivalent atoms:
Nd  0.000  0.000  0.000 x2
Nd  0.250  0.250  0.500 x4
Y  0.000  0.144  0.500 x4
Y  0.000  0.249  0.000 x4
Y  0.231  0.000  0.504 x4
Y  0.242  0.000  0.994 x4
Ho  0.000  0.500  0.000 x2
Ho  0.000  0.500  0.500 x2
Ho  0.250  0.250  0.000 x4

For the total energy, the calculation gives -5.23 eV/atom. As for the total magnetization: 0.00 μB per atom.

***

Entry from Alexandria via LeMat-Bulk: an optimized crystal structure of BaSnPdO4 (PBE).

a b c (Å): 6.237 6.254 11.783
angles (deg): 90.00 90.00 90.00
Space group Imma (No. 74)
One atom of each set of equivalent atoms:
Ba  0.000  0.250  0.157 x4
Sn  0.000  0.000  0.500 x4
Pd  0.250  0.250  0.750 x4
O  0.000  0.045  0.689 x8
O  0.215  0.250  0.489 x8

The formation energy (no corrections) comes out at -10.68 eV/f.u. For the total energy, the calculation gives -5.95 eV/atom. As for the total magnetization: 0.00 μB per atom.

***

Entry from Alexandria via LeMat-Bulk: an optimized crystal structure of Ce3BN6 (PBE).

a b c (Å): 9.476 11.047 5.661
angles (deg): 90.00 90.00 90.00
Space group Cmc2_1 (No. 36)
One atom of each set of equivalent atoms:
Ce  0.000  0.106  0.000 x4
Ce  0.222  0.383  0.961 x8
B  0.000  0.294  0.368 x4
N  0.000  0.313  0.784 x4
N  0.000  0.378  0.591 x4
N  0.135  0.257  0.276 x8
N  0.153  0.011  0.725 x8

The formation energy (no corrections) comes out at -10.17 eV/f.u. For the total energy, the calculation gives -8.46 eV/atom. As for the total magnetization: 0.10 μB per atom.

***

Entry from Alexandria via LeMat-Bulk: an optimized crystal structure of Ac2Pm5Ho2 (PBE).

a b c (Å): 3.687 8.784 10.504
angles (deg): 79.67 80.07 89.84
Space group P-1 (No. 2)
One atom of each set of equivalent atoms:
Ac  0.103  0.322  0.292 x2
Pm  0.082  0.722  0.348 x2
Pm  0.283  0.347  0.933 x2
Pm  0.500  0.000  0.500 x1
Ho  0.318  0.970  0.858 x2

For the total energy, the calculation gives -4.48 eV/atom. As for the total magnetization: 0.00 μB per atom.